[1]
The following is a GGA-PBE calculation of a relaxed MgCd5Pd2 crystal, from Alexandria via LeMat-Bulk.

Properties
Calculated density ... 7.76 g/cm3
Total DFT energy (no corrections) ... -2.22 eV/atom
E above lowest polymorph ... 120.4 meV per atom
Space-group type ... No. 194
Formation energy ... -0.15 eV per atom
Volume ... 21.38 Å³ per atom

POSCAR file:
```
MgCd5Pd2
1.0
4.7643 0.0000 0.0000
-2.3822 4.1260 0.0000
0.0000 0.0000 17.3999
Mg Cd Pd
2 10 4
Cartesian
0.0000 2.7507 4.3500
2.3822 1.3753 13.0499
0.0000 0.0000 2.5205
0.0000 0.0000 6.1794
0.0000 0.0000 11.2205
0.0000 0.0000 14.8794
0.0000 2.7507 9.6979
0.0000 2.7507 13.0499
0.0000 2.7507 16.4020
2.3822 1.3753 0.9979
2.3822 1.3753 4.3500
2.3822 1.3753 7.7020
0.0000 2.7507 1.7586
0.0000 2.7507 6.9413
2.3822 1.3753 10.4586
2.3822 1.3753 15.6413
```


[2]
The following is a GGA-PBE calculation of a relaxed Tb4SmMg2 crystal, from Alexandria via LeMat-Bulk.

Properties
Calculated density ... 6.61 g/cm3
Total DFT energy (no corrections) ... -3.71 eV/atom
Space-group type ... No. 166
Formation energy ... 0.07 eV per atom
Volume ... 29.96 Å³ per atom

POSCAR file:
```
Tb4SmMg2
1.0
2.7345 1.5788 8.0957
-2.7345 1.5788 8.0957
0.0000 -3.1575 8.0957
Tb Sm Mg
4 1 2
Cartesian
0.0000 0.0000 1.6350
0.0000 0.0000 5.0376
0.0000 0.0000 19.2496
0.0000 0.0000 22.6522
0.0000 0.0000 12.1436
0.0000 0.0000 8.5137
0.0000 0.0000 15.7734
```


[3]
The following is a GGA-PBE calculation of a relaxed BaLiPmI6 crystal, from Alexandria via LeMat-Bulk.

Properties
Calculated density ... 4.28 g/cm3
Total DFT energy (no corrections) ... -3.45 eV/atom
Energy relative to the elements, uncorrected ... -1.46 eV per atom
Space-group type ... No. 163
Volume ... 45.27 Å³ per atom

POSCAR file:
```
BaLiPmI6
1.0
7.9112 0.0000 0.0000
-3.9556 6.8513 0.0000
0.0000 0.0000 15.0334
Ba Li Pm I
2 2 2 12
Cartesian
0.0000 0.0000 0.0000
0.0000 0.0000 7.5167
0.0000 4.5675 3.7583
3.9556 2.2838 11.2750
0.0000 4.5675 11.2750
3.9556 2.2838 3.7583
-1.3904 2.5088 2.0041
-2.4781 4.3927 5.5126
1.3904 2.5088 5.5126
-1.0877 6.8010 2.0041
2.8679 0.0503 9.5208
1.4775 2.4586 13.0293
2.4781 4.3927 2.0041
1.0877 6.8010 5.5126
5.0433 0.0503 13.0293
2.5652 4.3425 9.5208
6.4337 2.4586 9.5208
5.3460 4.3425 13.0293
```


[4]
The following is a GGA-PBE calculation of a relaxed BaNaNp2O8 crystal, from Alexandria via LeMat-Bulk.

Properties
Calculated density ... 7.31 g/cm3
Total DFT energy (no corrections) ... -8.14 eV/atom
Energy relative to the elements, uncorrected ... -2.41 eV per atom
Space-group type ... No. 82
Volume ... 14.44 Å³ per atom

POSCAR file:
```
BaNaNp2O8
1.0
-2.8531 2.8531 5.3213
2.8531 -2.8531 5.3213
2.8531 2.8531 -5.3213
Ba Na Np O
1 1 2 8
Cartesian
0.0000 0.0000 0.0000
2.8531 0.0000 2.6606
0.0000 0.0000 5.3213
0.0000 2.8531 2.6606
1.6965 1.2703 -1.5765
1.1902 -1.1866 4.1878
1.6665 1.6629 1.1335
1.5828 -1.1566 6.8978
1.6629 4.0397 -1.1335
1.1566 1.5828 3.7448
1.1866 1.1902 6.4548
1.2703 4.0097 1.5765
```


[5]
The following is a GGA-PBE calculation of a relaxed CoSiP2S crystal, from Alexandria via LeMat-Bulk.

Properties
Calculated density ... 3.45 g/cm3
Total DFT energy (no corrections) ... -4.86 eV/atom
Energy relative to the elements, uncorrected ... 0.63 eV per atom
E above lowest polymorph ... 0.0 meV per atom
Space-group type ... No. 123
Volume ... 17.42 Å³ per atom

POSCAR file:
```
CoSiP2S
1.0
4.1821 0.0000 0.0000
0.0000 4.1821 0.0000
0.0000 0.0000 4.9790
Co Si P S
1 1 2 1
Cartesian
0.0000 0.0000 0.0000
2.0911 2.0911 2.4895
0.0000 2.0911 0.0000
2.0911 0.0000 0.0000
0.0000 0.0000 2.4895
```


[6]
The following is a GGA-PBE calculation of a relaxed Pa2CrP crystal, from Alexandria via LeMat-Bulk.

Properties
Calculated density ... 10.46 g/cm3
Total DFT energy (no corrections) ... -8.41 eV/atom
E above lowest polymorph ... 348.9 meV per atom
Space-group type ... No. 166
Formation energy ... 0.10 eV per atom
Volume ... 21.63 Å³ per atom

POSCAR file:
```
Pa2CrP
1.0
1.7183 0.9921 8.4606
-1.7183 0.9921 8.4606
0.0000 -1.9841 8.4606
Pa Cr P
2 1 1
Cartesian
0.0000 0.0000 2.3287
0.0000 0.0000 23.0532
0.0000 0.0000 0.0000
0.0000 0.0000 12.6910
```